Record 1
Compound: CaH2W2
Source: Alexandria via LeMat-Bulk
Functional: PBE
Structure: relaxed

a = 7.619 Å, b = 7.619 Å, c = 2.702 Å
α = 90.00°, β = 90.00°, γ = 90.00°
Fractional positions:
Ca 0.000 0.000 0.000
Ca 0.500 0.500 0.000
H 0.100 0.400 0.500
H 0.400 0.900 0.500
H 0.600 0.100 0.500
H 0.900 0.600 0.500
W 0.112 0.612 0.000
W 0.388 0.112 0.000
W 0.612 0.888 0.000
W 0.888 0.388 0.000

## Properties
offset from the most stable computed form = 3.12 eV/f.u.



Record 2
Compound: PrInI4
Source: Alexandria via LeMat-Bulk
Functional: PBE
Structure: relaxed

a = 7.974 Å, b = 7.974 Å, c = 8.720 Å
α = 99.62°, β = 99.62°, γ = 34.12°
Fractional positions:
Pr 0.000 0.000 0.000
In 0.500 0.500 0.500
I 0.119 0.119 0.328
I 0.382 0.382 0.111
I 0.618 0.618 0.889
I 0.881 0.881 0.672

## Properties
raw formation energy = -1.09 eV per atom



Record 3
Compound: NdScGeAu
Source: Alexandria via LeMat-Bulk
Functional: PBE
Structure: relaxed

a = 5.044 Å, b = 5.044 Å, c = 5.044 Å
α = 60.00°, β = 60.00°, γ = 60.00°
Fractional positions:
Nd 0.000 0.000 0.000
Sc 0.500 0.500 0.500
Ge 0.250 0.250 0.250
Au 0.750 0.750 0.750

## Properties
ΔE_f = -2.71 eV per formula unit



Record 4
Compound: Si4As3
Source: Alexandria via LeMat-Bulk
Functional: PBE
Structure: relaxed

a = 5.506 Å, b = 5.506 Å, c = 4.899 Å
α = 90.00°, β = 90.00°, γ = 120.00°
Fractional positions:
Si 0.000 0.000 0.246
Si 0.000 0.000 0.754
Si 0.333 0.667 0.000
Si 0.667 0.333 0.000
As 0.000 0.500 0.500
As 0.500 0.000 0.500
As 0.500 0.500 0.500

## Properties
raw formation energy = 0.73 eV per atom



Record 5
Compound: Zn2PIr
Source: Alexandria via LeMat-Bulk
Functional: PBE
Structure: relaxed

a = 2.824 Å, b = 2.824 Å, c = 7.584 Å
α = 90.00°, β = 90.00°, γ = 90.00°
Fractional positions:
Zn 0.000 0.000 0.231
Zn 0.000 0.000 0.769
P 0.500 0.500 0.500
Ir 0.500 0.500 0.000

## Properties
ΔE_f = 0.56 eV per formula unit



Record 6
Compound: PuSi2Ni3
Source: Alexandria via LeMat-Bulk
Functional: PBE
Structure: relaxed

a = 7.464 Å, b = 7.464 Å, c = 7.079 Å
α = 113.67°, β = 113.67°, γ = 29.10°
Fractional positions:
Pu 0.156 0.156 0.067
Pu 0.844 0.844 0.933
Si 0.185 0.185 0.664
Si 0.479 0.479 0.820
Si 0.521 0.521 0.180
Si 0.815 0.815 0.336
Ni 0.038 0.038 0.368
Ni 0.317 0.317 0.558
Ni 0.410 0.410 0.335
Ni 0.590 0.590 0.665
Ni 0.683 0.683 0.442
Ni 0.962 0.962 0.632

## Properties
raw formation energy = -0.55 eV per atom



Record 7
Compound: Li5Cd2Cu
Source: Alexandria via LeMat-Bulk
Functional: PBE
Structure: relaxed

a = 5.805 Å, b = 11.607 Å, c = 4.027 Å
α = 90.00°, β = 90.00°, γ = 90.00°
Fractional positions:
Li 0.000 0.000 0.000
Li 0.007 0.256 0.000
Li 0.244 0.380 0.500
Li 0.256 0.880 0.500
Li 0.493 0.756 0.000
Li 0.500 0.500 0.000
Li 0.507 0.244 0.000
Li 0.744 0.120 0.500
Li 0.756 0.620 0.500
Li 0.993 0.744 0.000
Cd 0.245 0.622 0.500
Cd 0.255 0.122 0.500
Cd 0.745 0.878 0.500
Cd 0.755 0.378 0.500
Cu 0.000 0.500 0.000
Cu 0.500 0.000 0.000

## Properties
ΔE_f = -1.13 eV per formula unit



Record 8
Compound: Pa2NbNiN6
Source: Alexandria via LeMat-Bulk
Functional: PBE
Structure: relaxed

a = 5.328 Å, b = 5.328 Å, c = 4.643 Å
α = 90.00°, β = 90.00°, γ = 90.00°
Fractional positions:
Pa 0.000 0.500 0.000
Pa 0.500 0.000 0.000
Nb 0.000 0.000 0.574
Ni 0.500 0.500 0.652
N 0.000 0.000 0.165
N 0.253 0.253 0.729
N 0.253 0.747 0.729
N 0.500 0.500 0.196
N 0.747 0.253 0.729
N 0.747 0.747 0.729

## Properties
raw formation energy = -0.73 eV per atom